1.
Entry from Alexandria via LeMat-Bulk: a geometry-optimized Pr2Dy2Se5 structure (GGA-PBE).

Calculated values
As for the formation energy from raw total energies: -1764 meV/atom.

Cell and atoms, written as POSCAR:
```
Pr2Dy2Se5
1.0
7.7785 0.0000 0.0000
0.0000 7.3041 -4.2121
0.0000 -0.6839 8.4038
Pr Dy Se
4 4 10
direct
0.0000 0.8022 0.1978 Pr
0.5000 0.3022 0.6978 Pr
0.0000 0.1978 0.8022 Pr
0.5000 0.6978 0.3022 Pr
0.3431 0.1515 0.1515 Dy
0.6569 0.8485 0.8485 Dy
0.8431 0.3485 0.3485 Dy
0.1569 0.6515 0.6515 Dy
0.0000 0.0000 0.0000 Se
0.5000 0.5000 0.5000 Se
0.1539 0.2083 0.4757 Se
0.8461 0.5243 0.7917 Se
0.6539 0.0243 0.2917 Se
0.3461 0.7083 0.9757 Se
0.8461 0.7917 0.5243 Se
0.1539 0.4757 0.2083 Se
0.3461 0.9757 0.7083 Se
0.6539 0.2917 0.0243 Se
```

---

2.
Entry from Alexandria via LeMat-Bulk: a geometry-optimized PrDy2Se4 structure (GGA-PBE).

Calculated values
As for the formation energy from raw total energies: -1860 meV/atom.

Cell and atoms, written as POSCAR:
```
PrDy2Se4
1.0
4.0473 0.0000 0.0000
0.0000 12.6082 0.0000
0.0000 0.0000 14.8039
Pr Dy Se
4 8 16
direct
0.2500 0.7531 0.3289 Pr
0.7500 0.2469 0.6711 Pr
0.2500 0.2531 0.1711 Pr
0.7500 0.7469 0.8289 Pr
0.7500 0.0583 0.8875 Dy
0.2500 0.9417 0.1125 Dy
0.7500 0.5583 0.6125 Dy
0.2500 0.4417 0.3875 Dy
0.2500 0.4054 0.9080 Dy
0.7500 0.5946 0.0920 Dy
0.2500 0.9054 0.5920 Dy
0.7500 0.0946 0.4080 Dy
0.7500 0.0994 0.0766 Se
0.2500 0.9006 0.9234 Se
0.7500 0.5994 0.4234 Se
0.2500 0.4006 0.5766 Se
0.7500 0.9588 0.7161 Se
0.2500 0.0412 0.2839 Se
0.7500 0.4588 0.7839 Se
0.2500 0.5412 0.2161 Se
0.7500 0.3712 0.0431 Se
0.2500 0.6288 0.9569 Se
0.7500 0.8712 0.4569 Se
0.2500 0.1288 0.5431 Se
0.2500 0.1991 0.8215 Se
0.7500 0.8009 0.1785 Se
0.2500 0.6991 0.6785 Se
0.7500 0.3009 0.3215 Se
```

---

3.
Entry from Alexandria via LeMat-Bulk: a geometry-optimized Pr3Dy2Se6 structure (GGA-PBE).

Calculated values
As for the formation energy from raw total energies: -1822 meV/atom.

Cell and atoms, written as POSCAR:
```
Pr3Dy2Se6
1.0
-1.9077 2.6239 -2.6632
-1.4472 -1.4238 -3.6736
-19.4661 -3.9085 6.7855
Pr Dy Se
3 2 6
direct
0.0000 0.0000 0.0000 Pr
0.2772 0.2772 0.1685 Pr
0.7228 0.7228 0.8315 Pr
0.4486 0.4486 0.6543 Dy
0.5514 0.5514 0.3457 Dy
0.0860 0.0860 0.7420 Se
0.9140 0.9140 0.2580 Se
0.1965 0.1965 0.4104 Se
0.8035 0.8035 0.5896 Se
0.3617 0.3617 0.9148 Se
0.6383 0.6383 0.0852 Se
```

---

4.
Entry from Alexandria via LeMat-Bulk: a geometry-optimized PrDySe structure (GGA-PBE).

Calculated values
As for the formation energy from raw total energies: -1098 meV/atom.

Cell and atoms, written as POSCAR:
```
PrDySe
1.0
3.9460 0.0000 0.0000
-1.9730 3.4173 0.0000
0.0000 0.0000 6.7241
Pr Se Dy
1 1 1
direct
0.0000 0.0000 0.0524 Pr
0.6667 0.3333 0.3434 Se
0.3333 0.6667 0.6042 Dy
```

---

5.
Entry from Alexandria via LeMat-Bulk: a geometry-optimized Pr2DySe4 structure (GGA-PBE).

Calculated values
As for the formation energy from raw total energies: -1855 meV/atom.

Cell and atoms, written as POSCAR:
```
Pr2DySe4
1.0
0.6283 8.2853 0.8050
-4.9173 4.0580 5.3569
3.3684 3.2825 6.8719
Pr Dy Se
4 2 8
direct
0.0000 0.0000 0.0000 Pr
0.0000 0.0000 0.5000 Pr
0.0000 0.5000 0.5000 Pr
0.5000 0.0000 0.5000 Pr
0.5000 0.5000 0.0000 Dy
0.0000 0.5000 0.0000 Dy
0.2578 0.2518 0.2325 Se
0.7422 0.2675 0.2482 Se
0.2578 0.7325 0.7518 Se
0.7422 0.7482 0.7675 Se
0.7535 0.7451 0.2451 Se
0.7437 0.2549 0.7549 Se
0.2563 0.7451 0.2451 Se
0.2465 0.2549 0.7549 Se
```

---

6.
Entry from Alexandria via LeMat-Bulk: a geometry-optimized Pr4Dy3Se8 structure (GGA-PBE).

Calculated values
As for the formation energy from raw total energies: -1631 meV/atom.

Cell and atoms, written as POSCAR:
```
Pr4Dy3Se8
1.0
-6.2282 -5.2777 0.6445
-0.9261 -4.4265 6.8270
-6.7986 2.3425 5.5079
Pr Dy Se
4 3 8
direct
0.0000 0.0000 0.0000 Pr
0.3536 0.3536 0.9392 Pr
0.5000 0.5000 0.5000 Pr
0.6464 0.6464 0.0608 Pr
0.5000 0.0000 0.5000 Dy
0.0000 0.0000 0.5000 Dy
0.0000 0.5000 0.5000 Dy
0.2305 0.2305 0.3085 Se
0.2344 0.7501 0.2654 Se
0.7501 0.7501 0.2654 Se
0.7501 0.2344 0.2654 Se
0.7695 0.7695 0.6915 Se
0.7656 0.2499 0.7346 Se
0.2499 0.2499 0.7346 Se
0.2499 0.7656 0.7346 Se
```

---

7.
Entry from Alexandria via LeMat-Bulk: a geometry-optimized Pr2Dy2Se3 structure (GGA-PBE).

Calculated values
As for the formation energy from raw total energies: -1515 meV/atom.

Cell and atoms, written as POSCAR:
```
Pr2Dy2Se3
1.0
4.0341 -0.0017 -0.0024
-2.0074 6.7160 -1.0318
0.0023 -0.0579 7.2093
Pr Dy Se
2 2 3
direct
0.8788 0.7604 0.6130 Pr
0.1212 0.2396 0.3870 Pr
0.6269 0.2535 0.8815 Dy
0.3731 0.7465 0.1185 Dy
0.0000 0.0000 0.0000 Se
0.7487 0.4969 0.2378 Se
0.2513 0.5031 0.7622 Se
```

---

8.
Entry from Alexandria via LeMat-Bulk: a geometry-optimized Pr4DySe6 structure (GGA-PBE).

Calculated values
As for the formation energy from raw total energies: -1751 meV/atom.

Cell and atoms, written as POSCAR:
```
Pr4DySe6
1.0
8.3830 -0.1086 0.0391
-0.0388 8.3836 0.0391
0.1096 0.1086 8.3824
Pr Dy Se
8 2 12
direct
0.3650 0.1350 0.2500 Pr
0.8650 0.2500 0.3650 Pr
0.2500 0.6350 0.1350 Pr
0.2500 0.2500 0.7500 Pr
0.7500 0.7500 0.2500 Pr
0.7500 0.3650 0.8650 Pr
0.1350 0.7500 0.6350 Pr
0.6350 0.8650 0.7500 Pr
0.5000 0.5000 0.5000 Dy
0.0000 0.0000 0.0000 Dy
0.6824 0.0608 0.0833 Se
0.0833 0.3176 0.0608 Se
0.5833 0.4392 0.1824 Se
0.9392 0.0833 0.6824 Se
0.5608 0.1824 0.5833 Se
0.1824 0.4167 0.4392 Se
0.8176 0.5833 0.5608 Se
0.4392 0.8176 0.4167 Se
0.0608 0.9167 0.3176 Se
0.4167 0.5608 0.8176 Se
0.9167 0.6824 0.9392 Se
0.3176 0.9392 0.9167 Se
```

---

9.
Entry from Alexandria via LeMat-Bulk: a geometry-optimized PrDySe3 structure (GGA-PBE).

Calculated values
As for the formation energy from raw total energies: -1877 meV/atom.

Cell and atoms, written as POSCAR:
```
PrDySe3
1.0
-2.7821 -1.9521 -2.3692
-0.9249 -5.7172 5.7967
-5.9919 4.9653 2.9449
Pr Dy Se
2 2 6
direct
0.2500 0.3783 0.2288 Pr
0.7500 0.6217 0.7712 Pr
0.2500 0.8536 0.3257 Dy
0.7500 0.1464 0.6743 Dy
0.7500 0.6254 0.3894 Se
0.2500 0.3746 0.6106 Se
0.7500 0.3150 0.9747 Se
0.2500 0.9004 0.6799 Se
0.2500 0.6850 0.0253 Se
0.7500 0.0996 0.3201 Se
```

---

10.
Entry from Alexandria via LeMat-Bulk: a geometry-optimized PrDy5Se6 structure (GGA-PBE).

Calculated values
As for the formation energy from raw total energies: -1765 meV/atom.

Cell and atoms, written as POSCAR:
```
PrDy5Se6
1.0
-2.8776 -1.0964 6.4148
3.5238 -5.2334 -3.2903
5.4969 4.1327 1.8641
Pr Se Dy
1 6 5
direct
0.0000 0.0000 0.0000 Pr
0.4304 0.0852 0.2573 Se
0.9148 0.5696 0.7427 Se
0.2602 0.2602 0.7483 Se
0.7398 0.7398 0.2517 Se
0.0852 0.4304 0.2573 Se
0.5696 0.9148 0.7427 Se
0.8410 0.1590 0.5000 Dy
0.6652 0.3348 0.0000 Dy
0.5000 0.5000 0.5000 Dy
0.3348 0.6652 0.0000 Dy
0.1590 0.8410 0.5000 Dy
```

---

11.
Entry from Alexandria via LeMat-Bulk: a geometry-optimized PrDy2Se3 structure (GGA-PBE).

Calculated values
As for the formation energy from raw total energies: -1774 meV/atom.

Cell and atoms, written as POSCAR:
```
PrDy2Se3
1.0
-2.6120 -0.7102 -3.1173
-2.7449 -4.0416 3.2207
-1.1654 6.7576 2.1708
Pr Dy Se
1 2 3
direct
0.0000 0.5000 0.0000 Pr
0.6595 0.1595 0.3191 Dy
0.3405 0.8405 0.6809 Dy
0.3223 0.3223 0.6446 Se
0.0000 0.0000 0.0000 Se
0.6777 0.6777 0.3554 Se
```

---

12.
Entry from Alexandria via LeMat-Bulk: a geometry-optimized PrSm4DySe8 structure (GGA-PBE).

Calculated values
As for the formation energy from raw total energies: -1725 meV/atom.

Cell and atoms, written as POSCAR:
```
PrSm4DySe8
1.0
-4.5094 -7.2329 -1.0428
3.6293 -7.6009 1.6705
-2.4992 -4.5314 6.8816
Pr Sm Dy Se
1 4 1 8
direct
0.0009 0.0009 0.9972 Pr
0.6256 0.6256 0.1231 Sm
0.0007 0.4975 0.5010 Sm
0.4975 0.0007 0.5010 Sm
0.0007 0.0007 0.5010 Sm
0.3743 0.3743 0.8770 Dy
0.2486 0.7634 0.7394 Se
0.7634 0.2486 0.7394 Se
0.2486 0.2486 0.7394 Se
0.2442 0.2442 0.2674 Se
0.7542 0.2286 0.2630 Se
0.2286 0.7542 0.2630 Se
0.7542 0.7542 0.2630 Se
0.7584 0.7584 0.7250 Se
```

---

13.
Entry from Alexandria via LeMat-Bulk: a geometry-optimized Pr3Sm2DySe6 structure (GGA-PBE).

Calculated values
As for the formation energy from raw total energies: -1824 meV/atom.

Cell and atoms, written as POSCAR:
```
Pr3Sm2DySe6
1.0
7.2600 -0.0175 -0.0024
-3.6433 6.2796 -0.0024
-1.2087 -2.0928 6.9210
Pr Sm Dy Se
3 2 1 6
direct
0.1705 0.8295 0.5000 Pr
0.8295 0.1705 0.5000 Pr
0.5000 0.5000 0.5000 Pr
0.3330 0.6670 0.0000 Sm
0.6670 0.3330 0.0000 Sm
0.0000 0.0000 0.0000 Dy
0.9209 0.5936 0.7623 Se
0.7529 0.7529 0.2409 Se
0.0791 0.4064 0.2377 Se
0.5936 0.9209 0.7623 Se
0.2471 0.2471 0.7591 Se
0.4064 0.0791 0.2377 Se
```

---

14.
Entry from Alexandria via LeMat-Bulk: a geometry-optimized PrSm3Dy2Se6 structure (GGA-PBE).

Calculated values
As for the formation energy from raw total energies: -1800 meV/atom.

Cell and atoms, written as POSCAR:
```
PrSm3Dy2Se6
1.0
7.2038 -0.0142 -0.0008
-3.6125 6.2326 -0.0008
-1.1988 -2.0756 6.7916
Pr Sm Dy Se
1 3 2 6
direct
0.0000 0.0000 0.0000 Pr
0.1592 0.8408 0.5000 Sm
0.8408 0.1592 0.5000 Sm
0.5000 0.5000 0.5000 Sm
0.3343 0.6657 0.0000 Dy
0.6657 0.3343 0.0000 Dy
0.9176 0.5725 0.7515 Se
0.7365 0.7365 0.2424 Se
0.0824 0.4275 0.2485 Se
0.5725 0.9176 0.7515 Se
0.2635 0.2635 0.7576 Se
0.4275 0.0824 0.2485 Se
```

---

15.
Entry from Alexandria via LeMat-Bulk: a geometry-optimized Pr2Sm3DySe6 structure (GGA-PBE).

Calculated values
As for the formation energy from raw total energies: -1813 meV/atom.

Cell and atoms, written as POSCAR:
```
Pr2Sm3DySe6
1.0
4.1703 0.0000 0.0000
0.0000 8.4179 0.3222
-2.0851 -2.4035 8.7914
Pr Sm Dy Se
2 3 1 6
direct
0.8317 0.6640 0.6634 Pr
0.1683 0.3360 0.3366 Pr
0.5000 0.5000 0.0000 Sm
0.8293 0.1662 0.6586 Sm
0.1707 0.8338 0.3414 Sm
0.5000 0.0000 0.0000 Dy
0.3376 0.9242 0.6752 Se
0.6639 0.5878 0.3278 Se
0.6624 0.0758 0.3248 Se
0.9972 0.2419 0.9943 Se
0.0028 0.7581 0.0057 Se
0.3361 0.4122 0.6722 Se
```

---

16.
Entry from Alexandria via LeMat-Bulk: a geometry-optimized PrSmDy4Se8 structure (GGA-PBE).

Calculated values
As for the formation energy from raw total energies: -1717 meV/atom.

Cell and atoms, written as POSCAR:
```
PrSmDy4Se8
1.0
-0.5842 -6.2436 -5.7156
6.9954 -2.9552 -3.7846
2.8912 -7.7884 1.9145
Pr Sm Dy Se
1 1 4 8
direct
0.3738 0.3738 0.8786 Pr
0.9991 0.9991 0.0027 Sm
0.6258 0.6258 0.1225 Dy
0.9992 0.5029 0.4987 Dy
0.5029 0.9992 0.4987 Dy
0.9992 0.9992 0.4987 Dy
0.2428 0.7818 0.7326 Se
0.7818 0.2428 0.7326 Se
0.2428 0.2428 0.7326 Se
0.2378 0.2378 0.2867 Se
0.7528 0.2316 0.2628 Se
0.2316 0.7528 0.2628 Se
0.7528 0.7528 0.2628 Se
0.7576 0.7576 0.7271 Se
```

---

17.
Entry from Alexandria via LeMat-Bulk: a geometry-optimized PrSmDy2Se4 structure (GGA-PBE).

Calculated values
As for the formation energy from raw total energies: -1791 meV/atom.

Cell and atoms, written as POSCAR:
```
PrSmDy2Se4
1.0
-2.0016 1.7893 -3.0728
-5.8466 0.8748 4.3178
0.5333 6.2923 3.3165
Pr Sm Dy Se
1 1 2 4
direct
0.5000 0.5000 0.0000 Pr
0.0000 0.5000 0.5000 Sm
0.0000 0.0000 0.0000 Dy
0.5000 0.0000 0.5000 Dy
0.0000 0.7649 0.7416 Se
0.0000 0.2351 0.2584 Se
0.5000 0.7623 0.2490 Se
0.5000 0.2377 0.7510 Se
```

---

18.
Entry from Alexandria via LeMat-Bulk: a geometry-optimized PrSm2DySe6 structure (GGA-PBE).

Calculated values
As for the formation energy from raw total energies: -1842 meV/atom.

Cell and atoms, written as POSCAR:
```
PrSm2DySe6
1.0
7.3839 0.0001 0.0002
3.6920 6.3947 0.0001
3.6917 2.1319 6.5739
Pr Sm Dy Se
1 2 1 6
direct
0.8135 0.8135 0.5594 Pr
0.5181 0.5181 0.4457 Sm
0.0145 0.0146 0.9565 Sm
0.3185 0.3184 0.0447 Dy
0.6061 0.2189 0.2502 Se
0.2188 0.9249 0.2502 Se
0.9250 0.6061 0.2502 Se
0.4074 0.7157 0.7528 Se
0.7157 0.1240 0.7528 Se
0.1240 0.4075 0.7528 Se
```

---

19.
Entry from Alexandria via LeMat-Bulk: a geometry-optimized PrSm2DySe4 structure (GGA-PBE).

Calculated values
As for the formation energy from raw total energies: -1800 meV/atom.

Cell and atoms, written as POSCAR:
```
PrSm2DySe4
1.0
-1.3638 -2.7584 -2.7368
1.7163 -5.3385 4.5252
-5.7645 -1.4042 4.2877
Pr Sm Dy Se
1 2 1 4
direct
0.5000 0.5000 0.0000 Pr
0.0000 0.0000 0.0000 Sm
0.5000 0.0000 0.5000 Sm
0.0000 0.5000 0.5000 Dy
0.0000 0.7521 0.7413 Se
0.0000 0.2479 0.2587 Se
0.5000 0.7460 0.2592 Se
0.5000 0.2540 0.7408 Se
```

---

20.
Entry from Alexandria via LeMat-Bulk: a geometry-optimized Sr3PrDy3Se8 structure (GGA-PBE).

Calculated values
As for the formation energy from raw total energies: -1917 meV/atom.

Cell and atoms, written as POSCAR:
```
Sr3PrDy3Se8
1.0
-0.6118 4.3913 7.1042
-2.9843 -7.8147 -0.3622
8.5246 1.2334 -0.0282
Sr Pr Dy Se
3 1 3 8
direct
0.0000 0.0000 0.0000 Sr
0.0000 0.5000 0.0000 Sr
0.5000 0.5000 0.0000 Sr
0.0000 0.0000 0.5000 Pr
0.5000 0.0000 0.5000 Dy
0.5000 0.5000 0.5000 Dy
0.0000 0.5000 0.5000 Dy
0.2567 0.5134 0.2701 Se
0.7433 0.4866 0.7299 Se
0.7498 0.4996 0.2668 Se
0.2502 0.5004 0.7332 Se
0.7498 0.0171 0.2668 Se
0.2502 0.9829 0.7332 Se
0.2672 0.0171 0.2668 Se
0.7328 0.9829 0.7332 Se
```